[1]
This record from the Alexandria database describes a relaxed structure of InPSe. The functional is PBE.

Values from the calculation:
- M_tot: 0.0 μB per formula unit
- Final energy: -41.78 eV/cell

Cell: 6.6185 6.6185 6.6185 Å, 90.00 90.00 90.00°
Space group F-43m (No. 216)
Asymmetric unit:
In1 0.0000 0.0000 0.0000 x4
P1 0.2500 0.2500 0.2500 x4
Se1 0.2500 0.2500 0.7500 x4

[2]
This record from the Alexandria database describes a relaxed structure of PuTl2Te. The functional is PBE.

Values from the calculation:
- M_tot: 5.9 μB per formula unit
- Final energy: -23.48 eV/cell

Cell: 4.6087 4.6087 5.3422 Å, 90.00 90.00 90.00°
Space group P4/mmm (No. 123)
Asymmetric unit:
Pu1 0.0000 0.0000 0.0000 x1
Tl1 0.0000 0.5000 0.5000 x2
Te1 0.5000 0.5000 0.0000 x1

[3]
This record from the Alexandria database describes a relaxed structure of InPt2RhPb. The functional is PBE.

Values from the calculation:
- M_tot: 1.0 μB per formula unit
- E_form: 1.418 eV per atom
- Final energy: -18.79 eV/cell

Cell: 5.0446 5.0446 5.4929 Å, 90.00 90.00 90.00°
Space group P4/mmm (No. 123)
Asymmetric unit:
In1 0.0000 0.0000 0.0000 x1
Pt1 0.0000 0.5000 0.5000 x2
Rh1 0.5000 0.5000 0.0000 x1
Pb1 0.0000 0.0000 0.5000 x1

[4]
This record from the Alexandria database describes a relaxed structure of CaLuGa. The functional is PBE.

Values from the calculation:
- M_tot: 0.0 μB per formula unit
- E_form: -0.206 eV per atom
- Final energy: -40.66 eV/cell

Cell: 7.0793 7.0793 7.0793 Å, 90.00 90.00 90.00°
Space group F-43m (No. 216)
Asymmetric unit:
Ca1 0.0000 0.0000 0.0000 x4
Lu1 0.0000 0.0000 0.5000 x4
Ga1 0.2500 0.2500 0.7500 x4